# 1
# GGA-PBE AcFe2BC, optimized geometry
# Energy of formation from the pure elements in eV/atom: 0.168
data_AcFe2BC
_chemical_formula_sum 'Ac4 Fe8 B4 C4'
_space_group_name_H-M_alt 'C m c m'
_space_group_IT_number 63
_space_group_name_Hall '-C 2c 2'
_cell_length_a 4.0917
_cell_length_b 9.9160
_cell_length_c 6.8568
_cell_angle_alpha 90.00
_cell_angle_beta 90.00
_cell_angle_gamma 90.00
loop_
_atom_site_label
_atom_site_fract_x
_atom_site_fract_y
_atom_site_fract_z
Ac1 0.0000 0.0399 0.2500
Fe1 0.0000 0.3179 0.0448
B1 0.0000 0.2465 0.7500
C1 0.0000 0.5000 0.0000

# 2
# GGA-PBE URu3, optimized geometry
# Energy of formation from the pure elements in eV/atom: -0.080
data_URu3
_chemical_formula_sum 'U1 Ru3'
_space_group_name_H-M_alt 'P m m 2'
_space_group_IT_number 25
_space_group_name_Hall 'P 2 -2'
_cell_length_a 2.9367
_cell_length_b 4.5210
_cell_length_c 4.8245
_cell_angle_alpha 90.00
_cell_angle_beta 90.00
_cell_angle_gamma 90.00
loop_
_atom_site_label
_atom_site_fract_x
_atom_site_fract_y
_atom_site_fract_z
U1 0.0000 0.0000 0.0000
Ru1 0.0000 0.5000 0.6365
Ru2 0.5000 0.0000 0.5073
Ru3 0.5000 0.5000 0.1236

# 3
# GGA-PBE TaReSiTc, optimized geometry
# Uncorrected formation energy in eV/f.u.: -1.358
data_TaReSiTc
_chemical_formula_sum 'Ta4 Re4 Si4 Tc4'
_space_group_name_H-M_alt 'F -4 3 m'
_space_group_IT_number 216
_space_group_name_Hall 'F -4 2 3'
_cell_length_a 6.1960
_cell_length_b 6.1960
_cell_length_c 6.1960
_cell_angle_alpha 90.00
_cell_angle_beta 90.00
_cell_angle_gamma 90.00
loop_
_atom_site_label
_atom_site_fract_x
_atom_site_fract_y
_atom_site_fract_z
Ta1 0.0000 0.0000 0.0000
Re1 0.2500 0.2500 0.7500
Si1 0.0000 0.0000 0.5000
Tc1 0.2500 0.2500 0.2500